Record 1
Compound: SrInAg2
Source: Alexandria via LeMat-Bulk
Functional: PBE
Structure: optimized geometry

Calculated values
DFT total energy in eV per atom: -2.668
Density in kg/m³: 6800

Unit cell a=7.002 b=7.011 c=4.161 alpha=90.00 beta=90.18 gamma=90.00
Space group C2/m (No. 12)
Unique sites:
Sr: 0.000 0.000 0.000 [2 per cell]
In: 0.000 0.500 0.000 [2 per cell]
Ag: 0.250 0.250 0.500 [4 per cell]


Record 2
Compound: SrIn2Ag2
Source: Alexandria via LeMat-Bulk
Functional: PBE
Structure: optimized geometry

Calculated values
DFT total energy in eV per atom: -2.814
Density in kg/m³: 6585

Unit cell a=6.032 b=6.874 c=7.891 alpha=88.53 beta=67.79 gamma=64.17
Space group P-1 (No. 2)
Unique sites:
Sr: 0.115 0.250 0.250 [2 per cell]
In: 0.176 0.150 0.713 [2 per cell]
In: 0.458 0.649 0.214 [2 per cell]
Ag: 0.259 0.814 0.946 [2 per cell]
Ag: 0.482 0.312 0.446 [2 per cell]


Record 3
Compound: Sr3In2Ag9
Source: Alexandria via LeMat-Bulk
Functional: PBE
Structure: optimized geometry

Calculated values
DFT total energy in eV per atom: -2.811
Density in kg/m³: 7165

Unit cell a=4.759 b=10.033 c=14.205 alpha=90.00 beta=90.00 gamma=90.00
Space group Immm (No. 71)
Unique sites:
Sr: 0.000 0.000 0.000 [2 per cell]
Sr: 0.000 0.000 0.297 [4 per cell]
In: 0.000 0.198 0.500 [4 per cell]
Ag: 0.000 0.285 0.132 [8 per cell]
Ag: 0.000 0.360 0.332 [8 per cell]
Ag: 0.000 0.500 0.000 [2 per cell]


Record 4
Compound: Sr2In6Ag3
Source: Alexandria via LeMat-Bulk
Functional: PBE
Structure: optimized geometry

Calculated values
DFT total energy in eV per atom: -2.837
Density in kg/m³: 6623

Unit cell a=8.6211 b=8.6211 c=4.6268 alpha=90.00 beta=90.00 gamma=120.00
Space group P-62m (No. 189)
Unique sites:
Sr: 0.3333 0.6667 0.0000 [2 per cell]
In: 0.0000 0.2013 0.0000 [3 per cell]
In: 0.0000 0.6998 0.5000 [3 per cell]
Ag: 0.0000 0.3781 0.5000 [3 per cell]


E_form, respectively: -0.137; -0.242; -0.226; -0.260 eV per atom.